Density functional theory data (PBE+U) for a relaxed MnO2 crystal.

a b c (Å): 9.1842 2.9307 4.7340
angles (deg): 90.00 90.00 90.00
Fractional positions:
Mn  0.1360  0.2500  0.0578
Mn  0.3640  0.7500  0.5578
Mn  0.6360  0.2500  0.4422
Mn  0.8640  0.7500  0.9422
O  0.0215  0.7500  0.2144
O  0.2395  0.7500  0.8902
O  0.2605  0.2500  0.3902
O  0.4785  0.2500  0.7144
O  0.5215  0.7500  0.2856
O  0.7395  0.7500  0.6098
O  0.7605  0.2500  0.1098
O  0.9785  0.2500  0.7856

Output
symmetry = Pnma
electronic total energy = -21.36 eV/f.u.
crystal system = orthorhombic